# HoTl2OsO6

HoTl2OsO6 after structural relaxation (GGA-PBE, the Alexandria database).

a b c (Å): 6.4320 6.4320 5.7351
angles (deg): 90.00 90.00 120.00
Space group P-3m1 (No. 164)
Asymmetric unit:
1 Ho 0.0000 0.0000 0.0000 [1 per cell]
2 Tl 0.3333 0.6667 0.4602 [2 per cell]
3 Os 0.0000 0.0000 0.5000 [1 per cell]
4 O 0.1372 0.2745 0.7028 [6 per cell]

Summary:
The value obtained for the formation energy without anion corrections is -1.4090 eV/atom. The density of states at the Fermi level comes out at 0.46 states/eV per atom. The uncorrected energy is -64.38 eV/f.u.

# Ho2TlOsO8

Ho2TlOsO8 after structural relaxation (GGA-PBE, the Alexandria database).

a b c (Å): 6.817 7.090 7.027
angles (deg): 90.00 90.00 90.00
Space group Cmmm (No. 65)
Asymmetric unit:
1 Ho 0.000 0.000 0.248 [4 per cell]
2 Tl 0.000 0.500 0.500 [2 per cell]
3 Os 0.000 0.500 0.000 [2 per cell]
4 O 0.000 0.315 0.197 [8 per cell]
5 O 0.195 0.000 0.500 [4 per cell]
6 O 0.222 0.000 0.000 [4 per cell]

Summary:
The value obtained for the formation energy without anion corrections is -1.9649 eV/atom. The density of states at the Fermi level comes out at 0.33 states/eV per atom. The uncorrected energy is -86.00 eV/f.u.

# HoTmOsO6

HoTmOsO6 after structural relaxation (GGA-PBE, the Alexandria database).

a b c (Å): 5.4266 5.4266 9.5092
angles (deg): 90.00 90.00 120.00
Space group P-31c (No. 163)
Asymmetric unit:
1 Ho 0.0000 0.0000 0.0000 [2 per cell]
2 Tm 0.3333 0.6667 0.2500 [2 per cell]
3 Os 0.3333 0.6667 0.7500 [2 per cell]
4 O 0.0386 0.3677 0.6348 [12 per cell]

Summary:
The value obtained for the formation energy without anion corrections is -2.4077 eV/atom. The density of states at the Fermi level comes out at 0.45 states/eV per atom. The uncorrected energy is -71.70 eV/f.u.

Number 3 is which compound? HoTmOsO6

Number 2 is which compound? Ho2TlOsO8